(1)
{
  "formula": "CuNiHg2",
  "functional": "PBE-GGA",
  "state": "optimized geometry",
  "sg": "Pmm2, No. 25",
  "delta_e_f_ev_per_atom": 0.201,
  "volume_a3_per_atom": 16.89,
  "lattice_angstrom": [[3.048, 0.000, 0.000], [0.000, 3.164, 0.000], [0.000, 0.000, 7.006]],
  "species": ["Cu", "Ni", "Hg", "Hg"],
  "fractional_positions": [[0.000, 0.000, 0.000], [0.500, 0.500, 0.827], [0.000, 0.000, 0.592], [0.500, 0.500, 0.245]]
}

=====

(2)
{
  "formula": "Cu4NiHg",
  "functional": "PBE-GGA",
  "state": "optimized geometry",
  "sg": "F-43m, No. 216",
  "delta_e_f_ev_per_atom": 0.182,
  "volume_a3_per_atom": 13.53,
  "lattice_angstrom": [[0.000, 3.436, 3.436], [3.436, 0.000, 3.436], [3.436, 3.436, 0.000]],
  "species": ["Cu", "Cu", "Cu", "Cu", "Ni", "Hg"],
  "fractional_positions": [[0.376, 0.376, 0.376], [0.376, 0.376, 0.873], [0.376, 0.873, 0.376], [0.873, 0.376, 0.376], [0.750, 0.750, 0.750], [0.000, 0.000, 0.000]]
}

=====

(3)
{
  "formula": "Cu2Ni2Hg",
  "functional": "PBE-GGA",
  "state": "optimized geometry",
  "sg": "P4/mbm, No. 127",
  "delta_e_f_ev_per_atom": 0.206,
  "volume_a3_per_atom": 13.54,
  "lattice_angstrom": [[6.957, 0.000, 0.000], [0.000, 6.957, 0.000], [0.000, 0.000, 2.799]],
  "species": ["Cu", "Cu", "Cu", "Cu", "Ni", "Ni", "Ni", "Ni", "Hg", "Hg"],
  "fractional_positions": [[0.166, 0.334, 0.000], [0.334, 0.834, 0.000], [0.666, 0.166, 0.000], [0.834, 0.666, 0.000], [0.126, 0.626, 0.500], [0.374, 0.126, 0.500], [0.626, 0.874, 0.500], [0.874, 0.374, 0.500], [0.000, 0.000, 0.500], [0.500, 0.500, 0.500]]
}

=====

(4)
{
  "formula": "Cu2NiHg",
  "functional": "PBE-GGA",
  "state": "optimized geometry",
  "sg": "P4/mmm, No. 123",
  "delta_e_f_ev_per_atom": 0.134,
  "volume_a3_per_atom": 13.93,
  "lattice_angstrom": [[3.785, 0.000, 0.000], [0.000, 3.785, 0.000], [0.000, 0.000, 3.891]],
  "species": ["Cu", "Cu", "Ni", "Hg"],
  "fractional_positions": [[0.000, 0.500, 0.000], [0.500, 0.000, 0.000], [0.000, 0.000, 0.500], [0.500, 0.500, 0.500]]
}